Density functional theory data (GGA-PBE) for a relaxed structure of MnAlSe.

Cell lengths 4.195, 4.195, 4.195 Å; angles 60.00, 60.00, 60.00 degrees
Site moments in Bohr magnetons follow the coordinates.
Positions (direct):
1 Mn 0.750 0.750 0.750  2.38
2 Al 0.500 0.500 0.500  -0.08
3 Se 0.000 0.000 0.000  -0.02

Computed properties:
- magnetization (Bohr magnetons per cell) = 2.3
- SG = F-43m (216)
- DFT total energy (eV/atom) = -5.360
- ΔE to the lowest computed polymorph (meV/atom) = 201